# 1
4
Lattice="1.6283 -2.2651 0.0000 1.6283 2.2651 0.0000 0.0000 0.0000 9.3052" Properties=species:S:1:pos:R:3 comment="HgMo2W | the Alexandria database | PBE | relaxed" rho_g_cm3=13.94 vol_a3_per_fu=68.6 energy_ev_per_cell=-33.64 spacegroup=Cmmm crystal_system=orthorhombic pbc="T T T"
Hg 0.0000 0.0000 0.0000
Mo 1.6283 0.0000 2.4852
Mo 1.6283 0.0000 6.8200
W 0.0000 0.0000 4.6526

=====

# 2
3
Lattice="3.5811 0.0000 0.0000 -1.7906 3.1014 0.0000 0.0000 0.0000 6.9305" Properties=species:S:1:pos:R:3 comment="SrTlOs | the Alexandria database | PBE | relaxed" rho_g_cm3=10.40 vol_a3_per_fu=77.0 energy_ev_per_cell=-12.77 spacegroup=P3m1 crystal_system=trigonal pbc="T T T"
Sr 0.0000 0.0000 0.0000
Tl 1.7906 1.0338 2.8721
Os 0.0000 2.0676 4.7585

=====

# 3
5
Lattice="5.1648 0.0000 0.0000 0.0000 5.1648 0.0000 0.0000 0.0000 5.1648" Properties=species:S:1:pos:R:3 comment="CrIn3Tc | the Alexandria database | PBE | relaxed" de_polymorph_mev_per_atom=0 rho_g_cm3=5.96 vol_a3_per_fu=137.8 spacegroup=Pm-3m crystal_system=cubic pbc="T T T"
Cr 0.0000 0.0000 0.0000
In 0.0000 2.5824 2.5824
In 2.5824 0.0000 2.5824
In 2.5824 2.5824 0.0000
Tc 2.5824 2.5824 2.5824

=====

# 4
6
Lattice="6.8955 -1.9987 0.0000 6.8955 1.9987 0.0000 -1.1715 0.0000 5.8279" Properties=species:S:1:pos:R:3 comment="LaTbCo | the Alexandria database | PBE | relaxed" de_polymorph_mev_per_atom=0 rho_g_cm3=7.38 vol_a3_per_fu=80.3 spacegroup=C2/m crystal_system=monoclinic pbc="T T T"
La 0.9965 0.0000 1.7888
La 11.6230 0.0000 4.0391
Tb 4.4516 0.0000 1.0304
Tb 8.1678 0.0000 4.7975
Co 2.9655 0.0000 3.9182
Co 9.6540 0.0000 1.9097

=====

# 5
8
Lattice="-3.6263 3.6263 2.5323 3.6263 -3.6263 2.5323 3.6263 3.6263 -2.5323" Properties=species:S:1:pos:R:3 comment="ScMnRe2 | the Alexandria database | PBE | relaxed" de_polymorph_mev_per_atom=531 rho_g_cm3=11.78 vol_a3_per_fu=66.6 spacegroup=I-42d crystal_system=tetragonal pbc="T T T"
Sc 0.0000 0.0000 0.0000
Sc 0.0000 3.6263 1.2661
Mn 3.6263 0.0000 1.2661
Mn 0.0000 0.0000 2.5323
Re 1.8132 -1.3756 1.8992
Re 2.2507 1.8132 0.6331
Re 1.8132 5.0019 -0.6331
Re 1.3756 1.8132 3.1653

=====

# 6
3
Lattice="2.9640 0.0000 0.0000 -1.4820 2.5669 0.0000 0.0000 0.0000 5.5120" Properties=species:S:1:pos:R:3 comment="BeIrSe | the Alexandria database | PBE | relaxed" de_polymorph_mev_per_atom=96 rho_g_cm3=11.09 vol_a3_per_fu=41.9 spacegroup=P3m1 e_form_raw_ev_per_fu=0.5 crystal_system=trigonal pbc="T T T"
Be 0.0000 0.0000 0.0000
Ir 1.4820 0.8556 1.6199
Se 0.0000 1.7113 3.6943

=====

# 7
12
Lattice="3.3428 1.9300 11.2085 -3.3428 1.9300 11.2085 0.0000 -3.8600 11.2085" Properties=species:S:1:pos:R:3 comment="CsTiMn2Br8 | the Alexandria database | PBE | relaxed" rho_g_cm3=3.56 vol_a3_per_fu=433.9 spacegroup=R32 e_form_raw_ev_per_fu=-12.0 crystal_system=trigonal pbc="T T T"
Cs 0.0000 0.0000 0.0000
Ti 0.0000 0.0000 16.8128
Mn 0.0000 0.0000 8.0002
Mn 0.0000 0.0000 25.6254
Br -0.9220 -1.8042 15.0998
Br -1.1015 -1.7005 18.5258
Br 0.0000 0.0000 10.4314
Br -1.1015 1.7005 15.0998
Br -0.9220 1.8042 18.5258
Br 0.0000 0.0000 23.1941
Br 2.0234 0.1036 15.0997
Br 2.0234 -0.1036 18.5258

=====

# 8
12
Lattice="8.8880 0.0000 0.0000 0.0000 6.5457 0.0000 0.0000 0.0000 12.5231" Properties=species:S:1:pos:R:3 comment="Rb2Mg | the Alexandria database | PBE | relaxed" de_polymorph_mev_per_atom=46 rho_g_cm3=1.78 vol_a3_per_fu=182.1 spacegroup=Pnma crystal_system=orthorhombic pbc="T T T"
Rb 0.3987 1.6364 2.4895
Rb 1.5431 1.6364 7.0538
Rb 2.9009 4.9093 0.7922
Rb 4.0453 4.9093 8.7510
Rb 4.8427 1.6364 3.7721
Rb 5.9872 1.6364 11.7308
Rb 7.3449 4.9093 5.4693
Rb 8.4893 4.9093 10.0336
Mg 1.9177 1.6364 11.0547
Mg 2.5263 4.9093 4.7932
Mg 6.3617 1.6364 7.7299
Mg 6.9703 4.9093 1.4683

=====

# 9
10
Lattice="4.3930 0.0000 0.0000 0.0000 4.3930 0.0000 0.0000 0.0000 10.9534" Properties=species:S:1:pos:R:3 comment="Ac2PaSi3Pt4 | the Alexandria database | PBE | relaxed" rho_g_cm3=12.17 vol_a3_per_fu=211.4 spacegroup=P-4m2 e_form_raw_ev_per_fu=-9.6 crystal_system=tetragonal pbc="T T T"
Ac 0.0000 2.1965 2.5406
Ac 2.1965 0.0000 8.4128
Pa 0.0000 0.0000 5.4767
Si 0.0000 2.1965 9.7238
Si 2.1965 0.0000 1.2296
Si 2.1965 2.1965 5.4767
Pt 0.0000 0.0000 0.0000
Pt 0.0000 2.1965 7.2517
Pt 2.1965 0.0000 3.7017
Pt 2.1965 2.1965 0.0000

=====

# 10
6
Lattice="4.1306 0.0000 0.0000 0.0000 4.1306 0.0000 0.0000 0.0000 5.2936" Properties=species:S:1:pos:R:3 comment="YGa2HRu2 | the Alexandria database | PBE | relaxed" rho_g_cm3=7.93 vol_a3_per_fu=90.3 energy_ev_per_cell=-36.96 spacegroup=P4/mmm crystal_system=tetragonal pbc="T T T"
Y 0.0000 0.0000 0.0000
Ga 2.0653 2.0653 1.2215
Ga 2.0653 2.0653 4.0721
H 0.0000 0.0000 2.6468
Ru 0.0000 2.0653 2.6468
Ru 2.0653 0.0000 2.6468

=====

# 11
20
Lattice="11.2276 0.0000 0.0000 0.0000 4.0851 0.0000 -3.7141 0.0000 10.9169" Properties=species:S:1:pos:R:3 comment="AcTb3S6 | the Alexandria database | PBE | relaxed" rho_g_cm3=5.94 vol_a3_per_fu=250.4 spacegroup=P2_1/m e_form_raw_ev_per_fu=-21.3 crystal_system=monoclinic pbc="T T T"
Ac -0.1240 1.0213 2.1515
Ac 7.6375 3.0638 8.7654
Tb -0.3751 1.0213 6.4375
Tb -0.0878 3.0638 10.9047
Tb 3.8212 1.0213 3.6415
Tb 3.6923 3.0638 7.2753
Tb 7.6013 1.0213 0.0122
Tb 7.8886 3.0638 4.4794
S -0.5939 3.0638 4.4810
S -2.1786 1.0213 10.5118
S -0.5307 3.0638 8.1655
S 2.2374 3.0638 2.5263
S 2.3421 1.0213 6.0362
S 4.9633 1.0213 1.1965
S 2.5502 3.0638 9.7204
S 5.1713 3.0638 4.8807
S 5.2760 1.0213 8.3906
S 8.0442 1.0213 2.7514
S 9.6920 3.0638 0.4051
S 8.1073 1.0213 6.4359

=====

# 12
4
Lattice="0.0000 3.6004 3.6004 3.6004 0.0000 3.6004 3.6004 3.6004 0.0000" Properties=species:S:1:pos:R:3 comment="TbPmGePd | the Alexandria database | PBE | relaxed" de_polymorph_mev_per_atom=91 rho_g_cm3=8.59 vol_a3_per_fu=93.3 spacegroup=F-43m crystal_system=cubic pbc="T T T"
Tb 0.0000 0.0000 0.0000
Pm 3.6004 3.6004 3.6004
Ge 5.4005 5.4005 5.4005
Pd 1.8002 1.8002 1.8002